Entry 1:
DFT (PBE) results for ZnCd after structural relaxation.

The calculated formation energy is 0.04 eV per atom. For the density of states at the Fermi level, the calculation gives 0.9 states/eV per cell. The calculation puts the total energy at -2.1 eV/f.u.

The structure belongs to space group P-1 (No. 2); the cell edges are 3.2764, 4.7929 and 5.4759 Å and the angles 80.17°, 72.64° and 70.65°. The asymmetric unit holds Zn at (0.1820, 0.2247, 0.4043) and Cd at (0.4257, 0.2928, 0.8496).


Entry 2:
DFT (PBE) results for ScGePd5 after structural relaxation.

The calculated formation energy is -0.25 eV per atom. For the density of states at the Fermi level, the calculation gives 8.7 states/eV per cell. The calculation puts the total energy at -38.7 eV/f.u. Its polymorph energy (0 for the lowest one) is 481 meV per atom.

The structure belongs to space group C2/c (No. 15); the cell edges are 9.7901, 8.5978 and 7.5419 Å and the angles 90.00°, 124.66° and 90.00°. The asymmetric unit holds Sc at (0.0000, 0.0370, 0.2500), Ge at (0.0000, 0.5000, 0.0000), Pd at (0.0000, 0.3305, 0.2500), Pd at (0.1009, 0.2277, 0.9784) and Pd at (0.2013, 0.0930, 0.6672).


Entry 3:
DFT (PBE) results for YPIr5 after structural relaxation.

The calculated formation energy is -0.28 eV per atom. For the density of states at the Fermi level, the calculation gives 4.5 states/eV per cell. The calculation puts the total energy at -58.1 eV/f.u.

The structure belongs to space group P4/mmm (No. 123); the cell edges are 4.0149, 4.0149 and 6.9231 Å and the angles 90.00°, 90.00° and 90.00°. The asymmetric unit holds Y at (0.0000, 0.0000, 0.0000), P at (0.0000, 0.0000, 0.5000), Ir at (0.0000, 0.5000, 0.3021) and Ir at (0.5000, 0.5000, 0.0000).


Entry 4:
DFT (PBE) results for La5Mg4Ga4 after structural relaxation.

The calculated formation energy is -0.41 eV per atom. For the density of states at the Fermi level, the calculation gives 25.8 states/eV per cell. The calculation puts the total energy at -48.4 eV/f.u.

The structure belongs to space group I4/m (No. 87); the cell edges are 12.2890, 12.2890 and 4.5868 Å and the angles 90.00°, 90.00° and 90.00°. The asymmetric unit holds La at (0.0000, 0.0000, 0.0000), La at (0.1330, 0.2054, 0.5000), Mg at (0.0791, 0.6044, 0.5000) and Ga at (0.0551, 0.7445, 0.0000).


Entry 5:
DFT (PBE) results for Mg5AgPd after structural relaxation.

The calculated formation energy is -0.01 eV per atom. For the density of states at the Fermi level, the calculation gives 12.1 states/eV per cell. The calculation puts the total energy at -16.1 eV/f.u.

The structure belongs to space group C2/c (No. 15); the cell edges are 11.8293, 7.9363 and 9.4507 Å and the angles 90.00°, 119.96° and 90.00°. The asymmetric unit holds Mg at (0.0000, 0.0873, 0.2500), Mg at (0.0214, 0.3154, 0.9623), Mg at (0.2474, 0.0286, 0.6544), Ag at (0.0000, 0.4331, 0.2500) and Pd at (0.0000, 0.0000, 0.0000).


Entry 6:
DFT (PBE) results for AcAlCuGe2 after structural relaxation.

The calculated formation energy is -0.44 eV per atom. For the density of states at the Fermi level, the calculation gives 4.0 states/eV per cell. The calculation puts the total energy at -23.4 eV/f.u.

The structure belongs to space group I-4m2 (No. 119); the cell edges are 4.2133, 4.2133 and 11.7312 Å and the angles 90.00°, 90.00° and 90.00°. The asymmetric unit holds Ac at (0.0000, 0.0000, 0.0000), Al at (0.0000, 0.5000, 0.2500), Cu at (0.0000, 0.5000, 0.7500) and Ge at (0.0000, 0.0000, 0.3769).


Entry 7:
DFT (PBE) results for CoOsCl2 after structural relaxation.

For the density of states at the Fermi level, the calculation gives 13.0 states/eV per cell. The calculation puts the total energy at -18.4 eV/f.u. Its polymorph energy (0 for the lowest one) is 720 meV per atom. As for the uncorrected formation energy: 0.905 eV per atom.

The structure belongs to space group C2/m (No. 12); the cell edges are 5.8105, 7.8717 and 2.8570 Å and the angles 90.00°, 90.30° and 90.00°. The asymmetric unit holds Co at (0.0000, 0.0000, 0.0000), Os at (0.0000, 0.5000, 0.0000) and Cl at (0.2500, 0.2500, 0.0000).


Entry 8:
DFT (PBE) results for Zn2NiCl after structural relaxation.

For the density of states at the Fermi level, the calculation gives 3.7 states/eV per cell. The calculation puts the total energy at -9.8 eV/f.u. Its polymorph energy (0 for the lowest one) is 294 meV per atom. As for the uncorrected formation energy: 0.091 eV per atom.

The structure belongs to space group C2/m (No. 12); the cell edges are 11.9686, 2.8641 and 3.9459 Å and the angles 90.00°, 108.91° and 90.00°. The asymmetric unit holds Zn at (0.1991, 0.0000, 0.2001), Ni at (0.0000, 0.5000, 0.0000) and Cl at (0.0000, 0.0000, 0.5000).


Entry 9:
DFT (PBE) results for La2VI2 after structural relaxation.

For the density of states at the Fermi level, the calculation gives 8.9 states/eV per cell. The calculation puts the total energy at -22.8 eV/f.u. Its polymorph energy (0 for the lowest one) is 0 meV per atom. As for the uncorrected formation energy: -0.154 eV per atom.

The structure belongs to space group P4/mbm (No. 127); the cell edges are 8.8080, 8.8080 and 4.1732 Å and the angles 90.00°, 90.00° and 90.00°. The asymmetric unit holds La at (0.1617, 0.3383, 0.0000), V at (0.0000, 0.0000, 0.0000) and I at (0.1379, 0.6379, 0.5000).


Entry 10:
DFT (PBE) results for Pm2Sm3Er5 after structural relaxation.

The calculated formation energy is 0.19 eV per atom. For the density of states at the Fermi level, the calculation gives 68.4 states/eV per cell. The calculation puts the total energy at -44.6 eV/f.u. Its polymorph energy (0 for the lowest one) is 0 meV per atom.

The structure belongs to space group C2/c (No. 15); the cell edges are 10.6600, 16.0050 and 9.3663 Å and the angles 90.00°, 124.60° and 90.00°. The asymmetric unit holds Pm at (0.1446, 0.1232, 0.0476), Sm at (0.0000, 0.2712, 0.7500), Sm at (0.1537, 0.3777, 0.5484), Er at (0.0000, 0.0242, 0.2500), Er at (0.0000, 0.2298, 0.2500), Er at (0.0000, 0.4736, 0.7500) and Er at (0.2409, 0.3828, 0.2353).


Entry 11:
DFT (PBE) results for LaCe2Ag2Ge2 after structural relaxation.

The calculated formation energy is -0.44 eV per atom. For the density of states at the Fermi level, the calculation gives 33.3 states/eV per cell. The calculation puts the total energy at -34.8 eV/f.u.

The structure belongs to space group R-3m (No. 166, hexagonal axes); the cell edges are 4.5218, 4.5218 and 27.6515 Å and the angles 90.00°, 90.00° and 120.00°. The asymmetric unit holds La at (0.0000, 0.0000, 0.0000), Ce at (0.0000, 0.0000, 0.1430), Ag at (0.0000, 0.0000, 0.4119) and Ge at (0.0000, 0.0000, 0.2607).


Entry 12:
DFT (PBE) results for PuGe4Pd6 after structural relaxation.

The calculated formation energy is -0.58 eV per atom. For the density of states at the Fermi level, the calculation gives 13.6 states/eV per cell. The calculation puts the total energy at -70.3 eV/f.u. Its polymorph energy (0 for the lowest one) is 0 meV per atom.

The structure belongs to space group P-6m2 (No. 187); the cell edges are 7.4215, 7.4215 and 3.8894 Å and the angles 90.00°, 90.00° and 120.00°. The asymmetric unit holds Pu at (0.0000, 0.0000, 0.0000), Ge at (0.1889, 0.3778, 0.5000), Ge at (0.6667, 0.3333, 0.0000), Pd at (0.0715, 0.5357, 0.0000) and Pd at (0.4008, 0.2004, 0.5000).


density of states at the Fermi level of number 5 (Mg5AgPd)? 12.1 states/eV per cell